Record 1
# RuS | Alexandria via LeMat-Bulk | PBE | optimized geometry
# VASP energy in eV/atom: -6.851
# Uncorrected formation energy in eV per atom: -0.15
data_RuS
_space_group_name_H-M_alt 'P 1'
_space_group_IT_number 1
_cell_length_a 7.0817
_cell_length_b 7.0817
_cell_length_c 7.0817
_cell_angle_alpha 90.00
_cell_angle_beta 90.00
_cell_angle_gamma 90.00
loop_
_space_group_symop_operation_xyz
'x,y,z'
loop_
_atom_site_label
_atom_site_fract_x
_atom_site_fract_y
_atom_site_fract_z
Ru1 0.3611 0.3611 0.3611
Ru2 0.3611 0.6389 0.6389
Ru3 0.6389 0.3611 0.6389
Ru4 0.6389 0.6389 0.3611
Ru5 0.8611 0.8611 0.8611
Ru6 0.8611 0.1389 0.1389
Ru7 0.1389 0.8611 0.1389
Ru8 0.1389 0.1389 0.8611
S1 0.1815 0.1815 0.1815
S2 0.1815 0.8185 0.8185
S3 0.8185 0.1815 0.8185
S4 0.8185 0.8185 0.1815
S5 0.6815 0.6815 0.6815
S6 0.6815 0.3185 0.3185
S7 0.3185 0.6815 0.3185
S8 0.3185 0.3185 0.6815

Record 2
# SrSn2As2 | Alexandria via LeMat-Bulk | PBE | optimized geometry
# VASP energy in eV/atom: -4.002
# DFT formation energy in eV/atom: -0.205
data_SrSn2As2
_space_group_name_H-M_alt 'P 1'
_space_group_IT_number 1
_cell_length_a 8.4325
_cell_length_b 8.4325
_cell_length_c 3.8912
_cell_angle_alpha 90.00
_cell_angle_beta 90.00
_cell_angle_gamma 90.00
loop_
_space_group_symop_operation_xyz
'x,y,z'
loop_
_atom_site_label
_atom_site_fract_x
_atom_site_fract_y
_atom_site_fract_z
Sr1 0.0000 0.0000 0.0000
Sr2 0.5000 0.5000 0.0000
As1 0.2130 0.7130 0.5000
As2 0.7130 0.7870 0.5000
As3 0.7870 0.2870 0.5000
As4 0.2870 0.2130 0.5000
Sn1 0.3771 0.8771 0.0000
Sn2 0.8771 0.6229 0.0000
Sn3 0.6229 0.1229 0.0000
Sn4 0.1229 0.3771 0.0000

Record 3
# Fe2Ir2Rh5 | Alexandria via LeMat-Bulk | PBE | optimized geometry
# VASP energy in eV/atom: -7.955
# DFT formation energy in eV/atom: -0.021
data_Fe2Ir2Rh5
_space_group_name_H-M_alt 'P 1'
_space_group_IT_number 1
_cell_length_a 4.6602
_cell_length_b 8.1119
_cell_length_c 6.0452
_cell_angle_alpha 145.36
_cell_angle_beta 104.84
_cell_angle_gamma 73.58
loop_
_space_group_symop_operation_xyz
'x,y,z'
loop_
_atom_site_label
_atom_site_fract_x
_atom_site_fract_y
_atom_site_fract_z
Fe1 0.6682 0.3305 0.9955
Fe2 0.3318 0.6695 0.0045
Ir1 0.1121 0.2256 0.6711
Ir2 0.8879 0.7744 0.3289
Rh1 0.5531 0.1143 0.3441
Rh2 0.4469 0.8857 0.6559
Rh3 0.7780 0.5550 0.6683
Rh4 0.2220 0.4450 0.3317
Rh5 0.0000 0.0000 0.0000

Record 4
# Zn2CrTc | Alexandria via LeMat-Bulk | PBE | optimized geometry
# Energy above the lowest structure with this stoichiometry in meV per atom: 0
# VASP energy in eV/atom: -5.595
# DFT formation energy in eV/atom: 0.039
data_Zn2CrTc
_space_group_name_H-M_alt 'P 1'
_space_group_IT_number 1
_cell_length_a 3.0250
_cell_length_b 3.0250
_cell_length_c 6.0536
_cell_angle_alpha 90.00
_cell_angle_beta 90.00
_cell_angle_gamma 90.00
loop_
_space_group_symop_operation_xyz
'x,y,z'
loop_
_atom_site_label
_atom_site_fract_x
_atom_site_fract_y
_atom_site_fract_z
Cr1 0.0000 0.0000 0.5226
Zn1 0.0000 0.0000 0.0039
Zn2 0.5000 0.5000 0.2548
Tc1 0.5000 0.5000 0.7187

Record 5
# Sb4IrAu | Alexandria via LeMat-Bulk | PBE | optimized geometry
# Energy above the lowest structure with this stoichiometry in meV per atom: 0
# VASP energy in eV/atom: -5.000
# Uncorrected formation energy in eV per atom: -0.23
data_Sb4IrAu
_space_group_name_H-M_alt 'P 1'
_space_group_IT_number 1
_cell_length_a 6.6022
_cell_length_b 6.5965
_cell_length_c 6.6144
_cell_angle_alpha 90.00
_cell_angle_beta 90.53
_cell_angle_gamma 90.00
loop_
_space_group_symop_operation_xyz
'x,y,z'
loop_
_atom_site_label
_atom_site_fract_x
_atom_site_fract_y
_atom_site_fract_z
Sb1 0.8846 0.6204 0.1364
Sb2 0.6154 0.1204 0.8636
Sb3 0.3673 0.3698 0.3890
Sb4 0.1327 0.8698 0.6110
Sb5 0.1154 0.3796 0.8636
Sb6 0.3846 0.8796 0.1364
Sb7 0.6327 0.6302 0.6110
Sb8 0.8673 0.1302 0.3890
Ir1 0.5000 0.0000 0.5000
Ir2 0.0000 0.5000 0.5000
Au1 0.0000 0.0000 0.0000
Au2 0.5000 0.5000 0.0000

Record 6
# K2ZnSbF6 | Alexandria via LeMat-Bulk | PBE | optimized geometry
# VASP energy in eV/atom: -4.229
# Uncorrected formation energy in eV per atom: -2.35
data_K2ZnSbF6
_space_group_name_H-M_alt 'P 1'
_space_group_IT_number 1
_cell_length_a 5.9138
_cell_length_b 5.6829
_cell_length_c 7.0953
_cell_angle_alpha 62.14
_cell_angle_beta 63.12
_cell_angle_gamma 90.37
loop_
_space_group_symop_operation_xyz
'x,y,z'
loop_
_atom_site_label
_atom_site_fract_x
_atom_site_fract_y
_atom_site_fract_z
K1 0.7276 0.2586 0.5176
K2 0.2724 0.7414 0.4824
Zn1 0.0000 0.0000 0.0000
Sb1 0.5000 0.5000 0.0000
F1 0.1933 0.0563 0.6705
F2 0.6873 0.6565 0.1396
F3 0.1870 0.6820 0.1451
F4 0.8130 0.3180 0.8549
F5 0.3127 0.3435 0.8604
F6 0.8067 0.9437 0.3295

Record 7
# Li7TbAu4 | Alexandria via LeMat-Bulk | PBE | optimized geometry
# VASP energy in eV/atom: -2.867
# DFT formation energy in eV/atom: -0.272
data_Li7TbAu4
_space_group_name_H-M_alt 'P 1'
_space_group_IT_number 1
_cell_length_a 4.7441
_cell_length_b 7.3185
_cell_length_c 7.0808
_cell_angle_alpha 72.71
_cell_angle_beta 70.43
_cell_angle_gamma 71.09
loop_
_space_group_symop_operation_xyz
'x,y,z'
loop_
_atom_site_label
_atom_site_fract_x
_atom_site_fract_y
_atom_site_fract_z
Li1 0.7825 0.8743 0.5608
Li2 0.2175 0.1257 0.4392
Li3 0.0620 0.5824 0.2936
Li4 0.9380 0.4176 0.7064
Li5 0.3151 0.6319 0.7378
Li6 0.5000 0.0000 0.0000
Li7 0.6849 0.3681 0.2622
Tb1 0.0000 0.0000 0.0000
Au1 0.5596 0.2246 0.6562
Au2 0.4404 0.7754 0.3438
Au3 0.6928 0.6613 0.9530
Au4 0.3072 0.3387 0.0470

Record 8
# Ca3ZrCd | Alexandria via LeMat-Bulk | PBE | optimized geometry
# Energy above the lowest structure with this stoichiometry in meV per atom: 0
# VASP energy in eV/atom: -2.506
# DFT formation energy in eV/atom: 0.587
data_Ca3ZrCd
_space_group_name_H-M_alt 'P 1'
_space_group_IT_number 1
_cell_length_a 5.7813
_cell_length_b 5.7813
_cell_length_c 5.7813
_cell_angle_alpha 90.00
_cell_angle_beta 90.00
_cell_angle_gamma 90.00
loop_
_space_group_symop_operation_xyz
'x,y,z'
loop_
_atom_site_label
_atom_site_fract_x
_atom_site_fract_y
_atom_site_fract_z
Ca1 0.0000 0.5000 0.0000
Ca2 0.0000 0.0000 0.5000
Ca3 0.5000 0.0000 0.0000
Zr1 0.5000 0.5000 0.5000
Cd1 0.0000 0.0000 0.0000

- What is the formula in the third record?
  Fe2Ir2Rh5